Record 1
# Cs3RbCd PBE relaxed
data_Cs3RbCd
_chemical_formula_sum 'Cs24 Rb8 Cd8'
_cell_length_a 15.560
_cell_length_b 20.090
_cell_length_c 10.554
_cell_angle_alpha 90.00
_cell_angle_beta 93.99
_cell_angle_gamma 90.00
_space_group_name_H-M_alt 'C 1 2/c 1'
_space_group_IT_number 15
_space_group_name_Hall '-C 2yc'
loop_
_atom_site_label
_atom_site_type_symbol
_atom_site_fract_x
_atom_site_fract_y
_atom_site_fract_z
Cs1 Cs 0.132 0.197 0.103
Cs2 Cs 0.141 0.468 0.107
Cs3 Cs 0.181 0.157 0.559
Rb1 Rb 0.000 0.008 0.750
Rb2 Rb 0.000 0.328 0.750
Cd1 Cd 0.057 0.333 0.372
# **Distance to the lowest polymorph of the same formula**: 0 meV per atom
# **Total DFT energy (no corrections)**: -0.9008 eV per atom

Record 2
# Cs2RbCd9 PBE relaxed
data_Cs2RbCd9
_chemical_formula_sum 'Cs4 Rb2 Cd18'
_cell_length_a 12.937
_cell_length_b 6.235
_cell_length_c 11.786
_cell_angle_alpha 90.00
_cell_angle_beta 120.96
_cell_angle_gamma 90.00
_space_group_name_H-M_alt 'C 1 2/m 1'
_space_group_IT_number 12
_space_group_name_Hall '-C 2y'
loop_
_atom_site_label
_atom_site_type_symbol
_atom_site_fract_x
_atom_site_fract_y
_atom_site_fract_z
Cs1 Cs 0.139 0.000 0.419
Rb1 Rb 0.000 0.000 0.000
Cd1 Cd 0.000 0.500 0.500
Cd2 Cd 0.091 0.500 0.186
Cd3 Cd 0.180 0.251 0.754
Cd4 Cd 0.182 0.500 0.978
# **Total DFT energy (no corrections)**: -0.9412 eV per atom

Record 3
# Cs2Rb5Cd2 PBE relaxed
data_Cs2Rb5Cd2
_chemical_formula_sum 'Cs8 Rb20 Cd8'
_cell_length_a 27.302
_cell_length_b 9.971
_cell_length_c 9.954
_cell_angle_alpha 90.00
_cell_angle_beta 90.00
_cell_angle_gamma 90.00
_space_group_name_H-M_alt 'C m c e'
_space_group_IT_number 64
_space_group_name_Hall '-C 2ac 2'
loop_
_atom_site_label
_atom_site_type_symbol
_atom_site_fract_x
_atom_site_fract_y
_atom_site_fract_z
Cs1 Cs 0.231 0.000 0.000
Rb1 Rb 0.000 0.000 0.000
Rb2 Rb 0.097 0.175 0.324
Cd1 Cd 0.000 0.107 0.606
# **Total DFT energy (no corrections)**: -0.9471 eV per atom

Record 4
# Cs2Rb7Cd2 PBE relaxed
data_Cs2Rb7Cd2
_chemical_formula_sum 'Cs4 Rb14 Cd4'
_cell_length_a 8.720
_cell_length_b 13.451
_cell_length_c 14.828
_cell_angle_alpha 90.00
_cell_angle_beta 104.94
_cell_angle_gamma 90.00
_space_group_name_H-M_alt 'C 1 2/m 1'
_space_group_IT_number 12
_space_group_name_Hall '-C 2y'
loop_
_atom_site_label
_atom_site_type_symbol
_atom_site_fract_x
_atom_site_fract_y
_atom_site_fract_z
Cs1 Cs 0.000 0.214 0.000
Rb1 Rb 0.000 0.000 0.500
Rb2 Rb 0.090 0.337 0.679
Rb3 Rb 0.173 0.000 0.806
Cd1 Cd 0.109 0.500 0.932
# **Total DFT energy (no corrections)**: -0.9268 eV per atom

Record 5
# Cs3RbCd PBE relaxed
data_Cs3RbCd
_chemical_formula_sum 'Cs12 Rb4 Cd4'
_cell_length_a 16.881
_cell_length_b 16.881
_cell_length_c 5.868
_cell_angle_alpha 90.00
_cell_angle_beta 90.00
_cell_angle_gamma 90.00
_space_group_name_H-M_alt 'P 42/m n m'
_space_group_IT_number 136
_space_group_name_Hall '-P 4n 2n'
loop_
_atom_site_label
_atom_site_type_symbol
_atom_site_fract_x
_atom_site_fract_y
_atom_site_fract_z
Cs1 Cs 0.001 0.317 0.000
Cs2 Cs 0.102 0.898 0.500
Rb1 Rb 0.189 0.189 0.500
Cd1 Cd 0.065 0.065 0.000
# **Distance to the lowest polymorph of the same formula**: 4 meV per atom
# **Total DFT energy (no corrections)**: -0.8972 eV per atom

Record 6
# Cs9Rb6Cd PBE relaxed
data_Cs9Rb6Cd
_chemical_formula_sum 'Cs18 Rb12 Cd2'
_cell_length_a 12.131
_cell_length_b 12.131
_cell_length_c 21.707
_cell_angle_alpha 90.00
_cell_angle_beta 90.00
_cell_angle_gamma 90.00
_space_group_name_H-M_alt 'I 4/m'
_space_group_IT_number 87
_space_group_name_Hall '-I 4'
loop_
_atom_site_label
_atom_site_type_symbol
_atom_site_fract_x
_atom_site_fract_y
_atom_site_fract_z
Cs1 Cs 0.000 0.000 0.000
Cs2 Cs 0.114 0.307 0.160
Rb1 Rb 0.000 0.000 0.326
Rb2 Rb 0.096 0.297 0.500
Cd1 Cd 0.000 0.000 0.500
# **Total DFT energy (no corrections)**: -0.8911 eV per atom

Record 7
# Cs6RbCd8 PBE relaxed
data_Cs6RbCd8
_chemical_formula_sum 'Cs18 Rb3 Cd24'
_cell_length_a 11.0831
_cell_length_b 11.0831
_cell_length_c 21.8125
_cell_angle_alpha 90.00
_cell_angle_beta 90.00
_cell_angle_gamma 120.00
_space_group_name_H-M_alt 'R -3'
_space_group_IT_number 148
_space_group_name_Hall '-R 3'
loop_
_atom_site_label
_atom_site_type_symbol
_atom_site_fract_x
_atom_site_fract_y
_atom_site_fract_z
Cs1 Cs 0.0134 0.7619 0.0974
Rb1 Rb 0.0000 0.0000 0.5000
Cd1 Cd 0.0000 0.0000 0.2443
Cd2 Cd 0.0426 0.5988 0.9468
# **Total DFT energy (no corrections)**: -0.8837 eV per atom

Record 8
# Cs3RbCd PBE relaxed
data_Cs3RbCd
_chemical_formula_sum 'Cs3 Rb1 Cd1'
_cell_length_a 8.866
_cell_length_b 8.866
_cell_length_c 8.866
_cell_angle_alpha 90.00
_cell_angle_beta 90.00
_cell_angle_gamma 90.00
_space_group_name_H-M_alt 'P m -3 m'
_space_group_IT_number 221
_space_group_name_Hall '-P 4 2 3'
loop_
_atom_site_label
_atom_site_type_symbol
_atom_site_fract_x
_atom_site_fract_y
_atom_site_fract_z
Cs1 Cs 0.000 0.000 0.500
Rb1 Rb 0.000 0.000 0.000
Cd1 Cd 0.500 0.500 0.500
# **Distance to the lowest polymorph of the same formula**: 309 meV per atom
# **Total DFT energy (no corrections)**: -0.5916 eV per atom

What are the DFT formation energy values for these records? In order: -1.17 -3.09 -1.60 1.02 -0.83 0.87 0.99 28.66 kJ/mol of atoms.